*P*
Density functional theory data (PBE-GGA) for Tl2NiAu after structural relaxation.

abc: 4.1913 3.3176 6.6479
angles: 90.00 108.15 90.00
Space group Pm (No. 6)
Symmetry-distinct sites (fractional):
Tl  0.0000  0.0000  0.0000 (multiplicity 1)
Tl  0.2982  0.5000  0.5980 (multiplicity 1)
Ni  0.5127  0.5000  0.0261 (multiplicity 1)
Au  0.6806  0.0000  0.3593 (multiplicity 1)

Calculated values
* D(E_F): 2.65 states/eV/cell
* total magnetization: 0.0 μB per cell

*Q*
Density functional theory data (PBE-GGA) for Tl2NiAu after structural relaxation.

abc: 6.9639 6.9639 6.9639
angles: 90.00 90.00 90.00
Space group F-43m (No. 216)
Symmetry-distinct sites (fractional):
Tl  0.0000  0.0000  0.0000 (multiplicity 4)
Tl  0.2500  0.2500  0.2500 (multiplicity 4)
Ni  0.0000  0.0000  0.5000 (multiplicity 4)
Au  0.2500  0.2500  0.7500 (multiplicity 4)

Calculated values
* D(E_F): 5.81 states/eV/cell
* total magnetization: 0.0 μB per cell

*R*
Density functional theory data (PBE-GGA) for Tl2NiAu after structural relaxation.

abc: 4.5801 5.5879 6.5365
angles: 90.00 90.00 90.00
Space group Immm (No. 71)
Symmetry-distinct sites (fractional):
Tl  0.0000  0.0000  0.2381 (multiplicity 4)
Ni  0.0000  0.5000  0.5000 (multiplicity 2)
Au  0.0000  0.5000  0.0000 (multiplicity 2)

Calculated values
* D(E_F): 4.03 states/eV/cell
* total magnetization: 0.0 μB per cell

*P* takes first place; second place is 172 meV per atom up.

*P*
Density functional theory data (PBE-GGA) for Tl2NiAu after structural relaxation.

abc: 7.5042 6.3865 3.5330
angles: 90.00 98.92 90.00
Space group C2/m (No. 12)
Symmetry-distinct sites (fractional):
Tl  0.2500  0.2500  0.0000 (multiplicity 4)
Ni  0.0000  0.0000  0.5000 (multiplicity 2)
Au  0.0000  0.5000  0.5000 (multiplicity 2)

Calculated values
* D(E_F): 3.19 states/eV/cell
* total magnetization: 0.0 μB per cell

*Q*
Density functional theory data (PBE-GGA) for Tl2NiAu after structural relaxation.

abc: 3.3279 3.3279 7.8797
angles: 90.00 90.00 90.00
Space group P4mm (No. 99)
Symmetry-distinct sites (fractional):
Tl  0.0000  0.0000  0.0000 (multiplicity 1)
Tl  0.5000  0.5000  0.3575 (multiplicity 1)
Ni  0.5000  0.5000  0.7853 (multiplicity 1)
Au  0.0000  0.0000  0.6214 (multiplicity 1)

Calculated values
* D(E_F): 2.34 states/eV/cell
* total magnetization: 0.0 μB per cell

*Q* takes first place; second place is 147 meV per atom up.

*P*
Density functional theory data (PBE-GGA) for TlNiAu after structural relaxation.

abc: 6.1948 6.1948 6.1948
angles: 90.00 90.00 90.00
Space group F-43m (No. 216)
Symmetry-distinct sites (fractional):
Tl  0.0000  0.0000  0.0000 (multiplicity 4)
Ni  0.2500  0.2500  0.2500 (multiplicity 4)
Au  0.0000  0.0000  0.5000 (multiplicity 4)

Calculated values
* D(E_F): 5.87 states/eV/cell
* total magnetization: 0.0 μB per cell

*Q*
Density functional theory data (PBE-GGA) for TlNiAu after structural relaxation.

abc: 3.1349 3.1349 10.9371
angles: 90.00 90.00 90.00
Space group I4mm (No. 107)
Symmetry-distinct sites (fractional):
Tl  0.0000  0.0000  0.0000 (multiplicity 2)
Ni  0.0000  0.0000  0.6549 (multiplicity 2)
Au  0.0000  0.0000  0.2963 (multiplicity 2)

Calculated values
* D(E_F): 5.61 states/eV/cell
* total magnetization: 0.0 μB per cell

*R*
Density functional theory data (PBE-GGA) for TlNiAu after structural relaxation.

abc: 4.2626 4.2626 3.6047
angles: 90.00 90.00 120.00
Space group P3m1 (No. 156)
Symmetry-distinct sites (fractional):
Tl  0.0000  0.0000  0.0000 (multiplicity 1)
Ni  0.3333  0.6667  0.6832 (multiplicity 1)
Au  0.6667  0.3333  0.4295 (multiplicity 1)

Calculated values
* D(E_F): 1.15 states/eV/cell
* total magnetization: 0.0 μB per cell

*P* takes first place; second place is 68 meV per atom up.